Record 1
# Ho2Cd2Hg7 PBE relaxed
# excess energy over the best structure of this formula in the dataset	0.029	eV/atom
# E_form	-1.87	eV/f.u.
data_Ho2Cd2Hg7
_cell_length_a 10.232
_cell_length_b 11.488
_cell_length_c 5.386
_cell_angle_alpha 90.00
_cell_angle_beta 119.76
_cell_angle_gamma 90.00
_symmetry_space_group_name_H-M 'C 1 2/m 1'
_symmetry_Int_Tables_number 12
_symmetry_space_group_name_Hall '-C 2y'
loop_
_atom_site_label
_atom_site_type_symbol
_atom_site_fract_x
_atom_site_fract_y
_atom_site_fract_z
Ho1 Ho 0.000 0.169 0.000
Cd1 Cd 0.108 0.500 0.306
Hg1 Hg 0.000 0.000 0.500
Hg2 Hg 0.168 0.245 0.664
Hg3 Hg 0.232 0.500 0.908

Record 2
# KTc2Au PBE relaxed
# excess energy over the best structure of this formula in the dataset	0.705	eV/atom
# E_form	4.52	eV/f.u.
data_KTc2Au
_cell_length_a 4.391
_cell_length_b 4.391
_cell_length_c 20.325
_cell_angle_alpha 90.00
_cell_angle_beta 90.00
_cell_angle_gamma 90.00
_symmetry_space_group_name_H-M 'I -4 2 d'
_symmetry_Int_Tables_number 122
_symmetry_space_group_name_Hall 'I -4 2bw'
loop_
_atom_site_label
_atom_site_type_symbol
_atom_site_fract_x
_atom_site_fract_y
_atom_site_fract_z
K1 K 0.000 0.000 0.000
Tc1 Tc 0.077 0.250 0.625
Au1 Au 0.000 0.000 0.500

Record 3
# La4TlCoSn PBE relaxed
# E_form	-2.70	eV/f.u.
data_La4TlCoSn
_cell_length_a 7.215
_cell_length_b 17.292
_cell_length_c 7.196
_cell_angle_alpha 90.00
_cell_angle_beta 90.00
_cell_angle_gamma 90.00
_symmetry_space_group_name_H-M 'C m c m'
_symmetry_Int_Tables_number 63
_symmetry_space_group_name_Hall '-C 2c 2'
loop_
_atom_site_label
_atom_site_type_symbol
_atom_site_fract_x
_atom_site_fract_y
_atom_site_fract_z
La1 La 0.000 0.074 0.250
La2 La 0.000 0.425 0.250
La3 La 0.250 0.250 0.000
Tl1 Tl 0.000 0.388 0.750
Co1 Co 0.000 0.255 0.250
Sn1 Sn 0.000 0.112 0.750

Record 4
# PtIF3 PBE relaxed
# formation energy from raw total energies	-0.47	eV/atom
# excess energy over the best structure of this formula in the dataset	0.470	eV/atom
data_PtIF3
_cell_length_a 4.368
_cell_length_b 4.368
_cell_length_c 4.368
_cell_angle_alpha 90.00
_cell_angle_beta 90.00
_cell_angle_gamma 90.00
_symmetry_space_group_name_H-M 'P m -3 m'
_symmetry_Int_Tables_number 221
_symmetry_space_group_name_Hall '-P 4 2 3'
loop_
_atom_site_label
_atom_site_type_symbol
_atom_site_fract_x
_atom_site_fract_y
_atom_site_fract_z
Pt1 Pt 0.000 0.000 0.000
I1 I 0.500 0.500 0.500
F1 F 0.000 0.000 0.500